1.
Below is CoRe2Ag after structural relaxation, with properties calculated at the GGA-PBE level.

Calculated values
E_form = 906 meV/atom
Space-group type = Fm-3m
Energy relative to the lowest polymorph listed for this composition = 0.6157 eV/atom
Fermi-level density of states = 7.1 states/eV/cell

a b c (Å): 4.3468 4.3468 4.3468
angles (deg): 60.00 60.00 60.00
Atoms (fractional coordinates):
Re 0.2500 0.2500 0.2500
Re 0.7500 0.7500 0.7500
Ag 0.5000 0.5000 0.5000
Co 0.0000 0.0000 0.0000

2.
Below is CoRe2Ag after structural relaxation, with properties calculated at the GGA-PBE level.

Calculated values
E_form = 574 meV/atom
Space-group type = I4/mmm
Energy relative to the lowest polymorph listed for this composition = 0.2843 eV/atom
Fermi-level density of states = 4.1 states/eV/cell

a b c (Å): 4.9159 4.9159 4.9159
angles (deg): 135.43 135.43 64.87
Atoms (fractional coordinates):
Re 0.0000 0.0000 0.0000
Co 0.7500 0.2500 0.5000
Ag 0.2500 0.7500 0.5000
Re 0.5000 0.5000 0.0000

3.
Below is CoReAg2 after structural relaxation, with properties calculated at the GGA-PBE level.

Calculated values
E_form = 298 meV/atom
Space-group type = Pm
Energy relative to the lowest polymorph listed for this composition = 0.0000 eV/atom
Fermi-level density of states = 3.0 states/eV/cell

a b c (Å): 2.7606 2.7580 8.4823
angles (deg): 70.96 90.00 90.00
Atoms (fractional coordinates):
Ag 0.5000 0.2277 0.2721
Ag 0.0000 0.0080 0.9917
Re 0.5000 0.7873 0.7128
Co 0.0000 0.4770 0.5234

4.
Below is Co2ReAg after structural relaxation, with properties calculated at the GGA-PBE level.

Calculated values
E_form = 347 meV/atom
Space-group type = P4mm
Energy relative to the lowest polymorph listed for this composition = 0.1148 eV/atom
Fermi-level density of states = 4.0 states/eV/cell

a b c (Å): 2.6489 2.6489 7.7485
angles (deg): 90.00 90.00 90.00
Atoms (fractional coordinates):
Ag 0.5000 0.5000 0.7647
Co 0.0000 0.0000 0.0318
Re 0.0000 0.0000 0.4691
Co 0.5000 0.5000 0.2345

5.
Below is CoRe2Ag after structural relaxation, with properties calculated at the GGA-PBE level.

Calculated values
E_form = 982 meV/atom
Space-group type = I-42d
Energy relative to the lowest polymorph listed for this composition = 0.6920 eV/atom
Fermi-level density of states = 10.2 states/eV/cell

a b c (Å): 7.1374 7.1374 5.6268
angles (deg): 50.64 50.64 90.00
Atoms (fractional coordinates):
Re 0.1862 0.6250 0.2500
Re 0.5638 0.1250 0.2500
Ag 0.0000 0.0000 0.0000
Ag 0.7500 0.2500 0.5000
Co 0.2500 0.7500 0.5000
Re 0.8750 0.8138 0.7500
Co 0.5000 0.5000 0.0000
Re 0.3750 0.4362 0.7500

6.
Below is CoReAg2 after structural relaxation, with properties calculated at the GGA-PBE level.

Calculated values
E_form = 717 meV/atom
Space-group type = Pmmm
Energy relative to the lowest polymorph listed for this composition = 0.4189 eV/atom
Fermi-level density of states = 4.4 states/eV/cell

a b c (Å): 2.6243 4.3781 5.3568
angles (deg): 90.00 90.00 90.00
Atoms (fractional coordinates):
Co 0.5000 0.5000 0.2500
Ag 0.0000 0.0000 0.4984
Re 0.5000 0.5000 0.7500
Ag 0.0000 0.0000 0.0016

7.
Below is CoReAg2 after structural relaxation, with properties calculated at the GGA-PBE level.

Calculated values
E_form = 811 meV/atom
Space-group type = I-4m2
Energy relative to the lowest polymorph listed for this composition = 0.5130 eV/atom
Fermi-level density of states = 5.0 states/eV/cell

a b c (Å): 4.6985 4.6985 4.6985
angles (deg): 129.44 129.44 74.30
Atoms (fractional coordinates):
Ag 0.0000 0.0000 0.0000
Ag 0.2500 0.7500 0.5000
Co 0.5000 0.5000 0.0000
Re 0.7500 0.2500 0.5000

8.
Below is CoRe2Ag after structural relaxation, with properties calculated at the GGA-PBE level.

Calculated values
E_form = 290 meV/atom
Space-group type = R3m
Energy relative to the lowest polymorph listed for this composition = 0.0000 eV/atom
Fermi-level density of states = 3.0 states/eV/cell

a b c (Å): 9.2115 9.2115 9.2115
angles (deg): 17.17 17.17 17.17
Atoms (fractional coordinates):
Ag 0.5038 0.5038 0.5038
Co 0.2543 0.2543 0.2543
Re 0.7441 0.7441 0.7441
Re 0.9978 0.9978 0.9978

9.
Below is CoReAg2 after structural relaxation, with properties calculated at the GGA-PBE level.

Calculated values
E_form = 671 meV/atom
Space-group type = Pmmm
Energy relative to the lowest polymorph listed for this composition = 0.3725 eV/atom
Fermi-level density of states = 3.7 states/eV/cell

a b c (Å): 2.7166 4.6427 4.9091
angles (deg): 90.00 90.00 90.00
Atoms (fractional coordinates):
Ag 0.0000 0.0000 0.0000
Ag 0.5000 0.5000 0.0000
Re 0.0000 0.5000 0.5000
Co 0.5000 0.0000 0.5000

10.
Below is CoRe2Ag after structural relaxation, with properties calculated at the GGA-PBE level.

Calculated values
E_form = 385 meV/atom
Space-group type = R-3m
Energy relative to the lowest polymorph listed for this composition = 0.0953 eV/atom
Fermi-level density of states = 4.7 states/eV/cell

a b c (Å): 9.2507 9.2507 9.2507
angles (deg): 16.90 16.90 16.90
Atoms (fractional coordinates):
Re 0.4913 0.4913 0.4913
Ag 0.2500 0.2500 0.2500
Co 0.7500 0.7500 0.7500
Re 0.0087 0.0087 0.0087

11.
Below is CoReAg2 after structural relaxation, with properties calculated at the GGA-PBE level.

Calculated values
E_form = 335 meV/atom
Space-group type = R3m
Energy relative to the lowest polymorph listed for this composition = 0.0373 eV/atom
Fermi-level density of states = 4.1 states/eV/cell

a b c (Å): 9.3970 9.3970 9.3970
angles (deg): 16.95 16.95 16.95
Atoms (fractional coordinates):
Ag 0.0019 0.0019 0.0019
Re 0.7587 0.7587 0.7587
Ag 0.2442 0.2442 0.2442
Co 0.4952 0.4952 0.4952

12.
Below is CoRe2Ag after structural relaxation, with properties calculated at the GGA-PBE level.

Calculated values
E_form = 411 meV/atom
Space-group type = P4/mmm
Energy relative to the lowest polymorph listed for this composition = 0.1210 eV/atom
Fermi-level density of states = 3.7 states/eV/cell

a b c (Å): 2.6439 2.6439 8.2326
angles (deg): 90.00 90.00 90.06
Atoms (fractional coordinates):
Re 0.0000 0.0000 0.5278
Ag 0.5000 0.5000 0.2500
Co 0.5000 0.5000 0.7500
Re 0.0000 0.0000 0.9722

13.
Below is Co2ReAg after structural relaxation, with properties calculated at the GGA-PBE level.

Calculated values
E_form = 552 meV/atom
Space-group type = I-4m2
Energy relative to the lowest polymorph listed for this composition = 0.3205 eV/atom
Fermi-level density of states = 3.8 states/eV/cell

a b c (Å): 4.7464 4.7464 4.7464
angles (deg): 135.04 135.04 65.47
Atoms (fractional coordinates):
Co 0.2500 0.7500 0.5000
Ag 0.7500 0.2500 0.5000
Co 0.0000 0.0000 0.0000
Re 0.5000 0.5000 0.0000

14.
Below is Co2ReAg after structural relaxation, with properties calculated at the GGA-PBE level.

Calculated values
E_form = 543 meV/atom
Space-group type = P2/m
Energy relative to the lowest polymorph listed for this composition = 0.3113 eV/atom
Fermi-level density of states = 5.4 states/eV/cell

a b c (Å): 2.6242 4.8902 5.2416
angles (deg): 54.27 90.00 90.00
Atoms (fractional coordinates):
Co 0.5000 0.5000 0.0000
Co 0.0000 0.0000 0.0000
Re 0.5000 0.5000 0.5000
Ag 0.0000 0.0000 0.5000

15.
Below is Co2ReAg after structural relaxation, with properties calculated at the GGA-PBE level.

Calculated values
E_form = 861 meV/atom
Space-group type = I-42d
Energy relative to the lowest polymorph listed for this composition = 0.6296 eV/atom
Fermi-level density of states = 3.8 states/eV/cell

a b c (Å): 6.6532 6.6532 5.4197
angles (deg): 52.14 52.14 90.00
Atoms (fractional coordinates):
Co 0.8750 0.9135 0.7500
Re 0.7500 0.2500 0.5000
Co 0.3750 0.3365 0.7500
Re 0.0000 0.0000 0.0000
Ag 0.2500 0.7500 0.5000
Co 0.0865 0.6250 0.2500
Ag 0.5000 0.5000 0.0000
Co 0.6635 0.1250 0.2500